#one
A plane-wave DFT calculation with PBE was carried out for LuCuIr after structural relaxation.

Cell: 4.4132 4.4132 4.4132 Å, 60.00 60.00 60.00°
Fractional positions:
Lu (0.0000, 0.0000, 0.0000)
Cu (0.5000, 0.5000, 0.5000)
Ir (0.7500, 0.7500, 0.7500)

Summary:
Symmetry: F-43m
Calculated volume (Å³ per atom): 20.3

---

#two
A plane-wave DFT calculation with PBE was carried out for LuCuIr after structural relaxation.

Cell: 4.4215 4.4215 4.4215 Å, 60.00 60.00 60.00°
Fractional positions:
Lu (0.0000, 0.0000, 0.0000)
Cu (0.7500, 0.7500, 0.7500)
Ir (0.2500, 0.2500, 0.2500)

Summary:
Symmetry: F-43m
Calculated volume (Å³ per atom): 20.4

---

Best to worst by energy: #one, #two.

---

#one
A plane-wave DFT calculation with PBE was carried out for LuCuIrPb after structural relaxation.

Cell: 4.7461 4.7461 4.7461 Å, 60.00 60.00 60.00°
Fractional positions:
Lu (0.0000, 0.0000, 0.0000)
Cu (0.7500, 0.7500, 0.7500)
Ir (0.2500, 0.2500, 0.2500)
Pb (0.5000, 0.5000, 0.5000)

Summary:
Symmetry: F-43m
Calculated volume (Å³ per atom): 18.9

---

#two
A plane-wave DFT calculation with PBE was carried out for LuCuIrPb after structural relaxation.

Cell: 4.7673 4.7673 4.7673 Å, 60.00 60.00 60.00°
Fractional positions:
Lu (0.0000, 0.0000, 0.0000)
Cu (0.5000, 0.5000, 0.5000)
Ir (0.7500, 0.7500, 0.7500)
Pb (0.2500, 0.2500, 0.2500)

Summary:
Symmetry: F-43m
Calculated volume (Å³ per atom): 19.2

---

Best to worst by energy: #one, #two.

---

#one
A plane-wave DFT calculation with PBE was carried out for MgCuIrW after structural relaxation.

Cell: 4.3416 4.3416 4.3416 Å, 60.00 60.00 60.00°
Fractional positions:
Mg (0.0000, 0.0000, 0.0000)
Cu (0.5000, 0.5000, 0.5000)
Ir (0.7500, 0.7500, 0.7500)
W (0.2500, 0.2500, 0.2500)

Summary:
Symmetry: F-43m
Calculated volume (Å³ per atom): 14.5

---

#two
A plane-wave DFT calculation with PBE was carried out for MgCuIrW after structural relaxation.

Cell: 4.3581 4.3581 4.3581 Å, 60.00 60.00 60.00°
Fractional positions:
Mg (0.0000, 0.0000, 0.0000)
Cu (0.7500, 0.7500, 0.7500)
Ir (0.5000, 0.5000, 0.5000)
W (0.2500, 0.2500, 0.2500)

Summary:
Symmetry: F-43m
Calculated volume (Å³ per atom): 14.6

---

#three
A plane-wave DFT calculation with PBE was carried out for MgCuIrW after structural relaxation.

Cell: 4.3735 4.3735 4.3735 Å, 60.00 60.00 60.00°
Fractional positions:
Mg (0.0000, 0.0000, 0.0000)
Cu (0.7500, 0.7500, 0.7500)
Ir (0.2500, 0.2500, 0.2500)
W (0.5000, 0.5000, 0.5000)

Summary:
Symmetry: F-43m
Calculated volume (Å³ per atom): 14.8

---

Best to worst by energy: #three, #two, #one.